The following is a DFT calculation (PBE-GGA) of a relaxed structure of K3Hg2Sb4.

```
9
Lattice="6.896 -2.580 0.000 6.896 2.580 0.000 -0.602 0.000 9.349" Properties=species:S:1:pos:R:3 pbc="T T T"
K 0.000 0.000 0.000
K 4.497 0.000 3.105
K 8.693 0.000 6.244
Hg 5.103 0.000 6.899
Hg 8.087 0.000 2.451
Sb 0.798 0.000 3.737
Sb 2.853 0.000 8.678
Sb 10.337 0.000 0.671
Sb 12.392 0.000 5.613
```

- E_tot (eV/cell) = -22.94
- uncorrected formation energy (eV per atom) = -0.28